A relaxed Pm8Te4Pb3 crystal, computed with GGA-PBE.

Calculated values
DOS(E_F): 5.7 states/eV per cell
Space-group type: C2/m, No. 12
Total DFT energy (no corrections): -5.075 eV/atom
Energy relative to the elements, uncorrected: -14.423 eV per formula unit
Total moment: 0.00 μB/cell

a b c (Å): 8.903 8.943 8.943
angles (deg): 89.98 119.95 119.95
Element x y z (fractional)
Pb 0.500 0.000 0.500
Pb 0.500 0.500 0.000
Te 0.000 0.500 0.000
Pm 0.490 0.745 0.745
Te 0.500 0.000 0.000
Pm 0.500 0.749 0.251
Te 0.000 0.000 0.000
Pm 0.510 0.255 0.255
Pm 0.994 0.747 0.747
Pm 0.000 0.748 0.252
Pm 0.500 0.251 0.749
Te 0.000 0.000 0.500
Pm 0.000 0.252 0.748
Pb 0.500 0.500 0.500
Pm 0.006 0.253 0.253